No. 1
SiPIr | GGA-PBE | relaxed

Output
Formation energy without anion corrections ... -0.164 eV per atom
M_tot ... 0.00 μB/cell

a b c (Å): 5.7533 3.8887 8.0294
angles (deg): 90.00 90.00 90.00
Atoms (fractional coordinates):
Si (0.1680, 0.2500, 0.1790)
Si (0.3320, 0.7500, 0.6790)
Si (0.6680, 0.2500, 0.3210)
Si (0.8320, 0.7500, 0.8210)
P (0.0738, 0.7500, 0.3828)
P (0.4262, 0.2500, 0.8828)
P (0.5738, 0.7500, 0.1172)
P (0.9262, 0.2500, 0.6172)
Ir (0.1938, 0.7500, 0.9692)
Ir (0.3062, 0.2500, 0.4692)
Ir (0.6938, 0.7500, 0.5308)
Ir (0.8062, 0.2500, 0.0308)

No. 2
SiPIr | GGA-PBE | relaxed

Output
Formation energy without anion corrections ... -0.075 eV per atom
M_tot ... 0.00 μB/cell

a b c (Å): 3.6022 3.6022 3.6673
angles (deg): 105.61 105.61 74.53
Atoms (fractional coordinates):
Si (0.0000, 0.0000, 0.0000)
P (0.3058, 0.3058, 0.7014)
Ir (0.6847, 0.6847, 0.3164)

No. 3
SiP2Ir | GGA-PBE | relaxed

Output
Formation energy without anion corrections ... 0.270 eV per atom
M_tot ... 0.00 μB/cell

a b c (Å): 5.9525 5.9525 5.9525
angles (deg): 152.71 140.56 48.62
Atoms (fractional coordinates):
Si (0.0000, 0.0000, 0.0000)
P (0.4042, 0.4042, 0.0000)
P (0.7378, 0.2378, 0.5000)
Ir (0.1912, 0.6912, 0.5000)

No. 4
Si3PIr | GGA-PBE | relaxed

Output
Formation energy without anion corrections ... 0.487 eV per atom
M_tot ... 0.00 μB/cell

a b c (Å): 4.6135 4.6135 4.6135
angles (deg): 90.00 90.00 90.00
Atoms (fractional coordinates):
Si (0.0000, 0.0000, 0.5000)
Si (0.0000, 0.5000, 0.0000)
Si (0.5000, 0.0000, 0.0000)
P (0.5000, 0.5000, 0.5000)
Ir (0.0000, 0.0000, 0.0000)

No. 5
Si2P2Ir | GGA-PBE | relaxed

Output
Formation energy without anion corrections ... 0.098 eV per atom
M_tot ... 0.00 μB/cell

a b c (Å): 4.2866 4.2866 9.2609
angles (deg): 90.00 90.00 90.00
Atoms (fractional coordinates):
Si (0.2500, 0.2500, 0.1139)
Si (0.2500, 0.7500, 0.5000)
Si (0.7500, 0.2500, 0.5000)
Si (0.7500, 0.7500, 0.8861)
P (0.2500, 0.2500, 0.6570)
P (0.2500, 0.7500, 0.0000)
P (0.7500, 0.2500, 0.0000)
P (0.7500, 0.7500, 0.3430)
Ir (0.2500, 0.2500, 0.3730)
Ir (0.7500, 0.7500, 0.6270)

No. 6
SiP2Ir | GGA-PBE | relaxed

Output
Formation energy without anion corrections ... 0.330 eV per atom
M_tot ... 0.00 μB/cell

a b c (Å): 4.3089 4.3089 4.3089
angles (deg): 60.00 60.00 60.00
Atoms (fractional coordinates):
Si (0.0000, 0.0000, 0.0000)
P (0.2500, 0.2500, 0.2500)
P (0.7500, 0.7500, 0.7500)
Ir (0.5000, 0.5000, 0.5000)

No. 7
SiPIr | GGA-PBE | relaxed

Output
Formation energy without anion corrections ... 0.173 eV per atom
M_tot ... 0.00 μB/cell

a b c (Å): 4.0357 4.0357 4.0357
angles (deg): 60.00 60.00 60.00
Atoms (fractional coordinates):
Si (0.0000, 0.0000, 0.0000)
P (0.7500, 0.7500, 0.7500)
Ir (0.2500, 0.2500, 0.2500)

No. 8
SiP2Ir | GGA-PBE | relaxed

Output
Formation energy without anion corrections ... 0.009 eV per atom
M_tot ... 0.00 μB/cell

a b c (Å): 4.2600 4.2600 4.2600
angles (deg): 110.10 110.10 108.23
Atoms (fractional coordinates):
Si (0.0000, 0.0000, 0.0000)
P (0.0000, 0.5000, 0.5000)
P (0.5000, 0.0000, 0.5000)
Ir (0.5000, 0.5000, 0.0000)

No. 9
SiP2Ir | GGA-PBE | relaxed

Output
Formation energy without anion corrections ... -0.107 eV per atom
M_tot ... 0.00 μB/cell

a b c (Å): 3.5706 3.5706 6.9213
angles (deg): 112.62 112.62 50.82
Atoms (fractional coordinates):
Si (0.0000, 0.0000, 0.0000)
P (0.2039, 0.2039, 0.7936)
P (0.5170, 0.5170, 0.5150)
Ir (0.7145, 0.7145, 0.3067)

No. 10
SiP2Ir | GGA-PBE | relaxed

Output
Formation energy without anion corrections ... -0.064 eV per atom
M_tot ... 0.00 μB/cell

a b c (Å): 6.7738 6.7738 6.7738
angles (deg): 29.51 29.51 29.51
Atoms (fractional coordinates):
Si (0.0000, 0.0000, 0.0000)
P (0.2756, 0.2756, 0.2756)
P (0.4908, 0.4908, 0.4908)
Ir (0.7669, 0.7669, 0.7669)

No. 11
SiPIr | GGA-PBE | relaxed

Output
Formation energy without anion corrections ... 0.091 eV per atom
M_tot ... 0.00 μB/cell

a b c (Å): 5.8042 5.8042 5.8042
angles (deg): 151.88 151.88 40.19
Atoms (fractional coordinates):
Si (0.0000, 0.0000, 0.0000)
P (0.6961, 0.6961, 0.0000)
Ir (0.3461, 0.3461, 0.0000)

No. 12
SiP2Ir | GGA-PBE | relaxed

Output
Formation energy without anion corrections ... 0.354 eV per atom
M_tot ... 0.00 μB/cell

a b c (Å): 4.4642 4.4642 2.8017
angles (deg): 90.00 90.00 90.00
Atoms (fractional coordinates):
Si (0.0000, 0.0000, 0.0000)
P (0.0000, 0.5000, 0.5000)
P (0.5000, 0.0000, 0.5000)
Ir (0.5000, 0.5000, 0.0000)

No. 13
SiP2Ir | GGA-PBE | relaxed

Output
Formation energy without anion corrections ... -0.187 eV per atom
M_tot ... 0.00 μB/cell

a b c (Å): 2.8073 5.2485 5.2485
angles (deg): 52.71 90.00 90.00
Atoms (fractional coordinates):
Si (0.0000, 0.0000, 0.0000)
P (0.0000, 0.4274, 0.4274)
P (0.5000, 0.7781, 0.7781)
Ir (0.5000, 0.2232, 0.2232)

No. 14
SiPIr | GGA-PBE | relaxed

Output
Formation energy without anion corrections ... -0.362 eV per atom
M_tot ... 0.00 μB/cell

a b c (Å): 3.9619 3.9619 3.9312
angles (deg): 117.50 117.50 65.11
Atoms (fractional coordinates):
Si (0.0000, 0.0000, 0.0000)
P (0.5371, 0.5371, 0.5066)
Ir (0.2644, 0.2644, 0.7515)

No. 15
SiPIr | GGA-PBE | relaxed

Output
Formation energy without anion corrections ... -0.133 eV per atom
M_tot ... 0.00 μB/cell

a b c (Å): 2.8559 4.3523 4.4187
angles (deg): 93.86 108.72 97.81
Atoms (fractional coordinates):
Si (0.0000, 0.0000, 0.0000)
P (0.9380, 0.5933, 0.6369)
Ir (0.6430, 0.4577, 0.0756)